(1)
# Co2AgW

Co2AgW at its PBEsol-relaxed geometry (SCAN, Alexandria).

abc: 2.7103 4.2923 4.6308
angles: 90.00 90.00 90.00
With the nearest neighbours (Å) after each atom.
Positions (direct):
Co  0.0000  0.0000  0.0000  4 W 2.54, 6 Co 2.68-2.71
Co  0.5000  0.0000  0.5000  4 Ag 2.54, 6 Co 2.68-2.71
Ag  0.0000  0.5000  0.5000  4 Co 2.54, 4 W 2.68, 2 Ag 2.71
W  0.5000  0.5000  0.0000  4 Co 2.54, 4 Ag 2.68, 2 W 2.71

V = 53.87 Å³/cell
calculated total energy = -33.23 eV/atom
total magnetization = 3.7 μB/f.u.
DFT formation energy = 0.69 eV/atom
DOS at the Fermi energy = 2.33 states/eV/cell
energy relative to the lowest polymorph listed for this composition = 3.91 kcal/mol of atoms
calculated density = 12.62 g cm⁻³

=====

(2)
# Co2AgW

Co2AgW at its PBEsol-relaxed geometry (SCAN, Alexandria).

abc: 3.2340 3.9736 3.9736
angles: 90.00 90.00 90.00
With the nearest neighbours (Å) after each atom.
Positions (direct):
Co  0.0000  0.0000  0.5000  4 W 2.56, 4 Ag 2.56, 4 Co 2.81
Co  0.0000  0.5000  0.0000  4 W 2.56, 4 Ag 2.56, 4 Co 2.81
Ag  0.5000  0.0000  0.0000  8 Co 2.56, 4 W 2.81
W  0.5000  0.5000  0.5000  8 Co 2.56, 4 Ag 2.81

V = 51.06 Å³/cell
calculated total energy = -33.27 eV/atom
total magnetization = 1.0 μB/f.u.
DFT formation energy = 0.65 eV/atom
DOS at the Fermi energy = 3.67 states/eV/cell
energy relative to the lowest polymorph listed for this composition = 2.96 kcal/mol of atoms
calculated density = 13.32 g cm⁻³

=====

(3)
# CoAgW

CoAgW at its PBEsol-relaxed geometry (SCAN, Alexandria).

abc: 4.0462 4.0462 4.0462
angles: 60.00 60.00 60.00
With the nearest neighbours (Å) after each atom.
Positions (direct):
Co  0.2500  0.2500  0.2500  4 Ag 2.48, 4 W 2.48
Ag  0.5000  0.5000  0.5000  4 Co 2.48
W  0.0000  0.0000  0.0000  4 Co 2.48

V = 46.84 Å³/cell
calculated total energy = -38.47 eV/atom
total magnetization = 1.5 μB/f.u.
DFT formation energy = 0.99 eV/atom
DOS at the Fermi energy = 1.92 states/eV/cell
energy relative to the lowest polymorph listed for this composition = 0.00 kcal/mol of atoms
calculated density = 12.43 g cm⁻³

=====

(4)
# Y2CoAg

Y2CoAg at its PBEsol-relaxed geometry (SCAN, Alexandria).

abc: 3.3627 3.3627 7.1908
angles: 90.00 90.00 90.00
With the nearest neighbours (Å) after each atom.
Positions (direct):
Y  0.0000  0.0000  0.2243  4 Co 2.87, 4 Ag 3.10
Y  0.0000  0.0000  0.7757  4 Co 2.87, 4 Ag 3.10
Co  0.5000  0.5000  0.0000  8 Y 2.87
Ag  0.5000  0.5000  0.5000  8 Y 3.10, 4 Ag 3.36

V = 81.31 Å³/cell
calculated total energy = -26.40 eV/atom
total magnetization = 0.8 μB/f.u.
DFT formation energy = -0.31 eV/atom
DOS at the Fermi energy = 2.37 states/eV/cell
calculated density = 7.04 g cm⁻³

=====

(5)
# Y4CoAg

Y4CoAg at its PBEsol-relaxed geometry (SCAN, Alexandria).

abc: 5.9774 5.9774 5.9774
angles: 60.00 60.00 60.00
With the nearest neighbours (Å) after each atom.
Positions (direct):
Ag  0.7500  0.7500  0.7500  12 Y 3.51, 4 Co 3.66
Co  0.0000  0.0000  0.0000  12 Y 3.50, 4 Ag 3.66
Y  0.3747  0.3747  0.3747  6 Y 2.98-3.00
Y  0.3747  0.3747  0.8760  6 Y 2.98-3.00
Y  0.8760  0.3747  0.3747  6 Y 2.98-3.00
Y  0.3747  0.8760  0.3747  6 Y 2.98-3.00

V = 151.02 Å³/cell
calculated total energy = -25.89 eV/atom
total magnetization = 2.1 μB/f.u.
DFT formation energy = 0.79 eV/atom
DOS at the Fermi energy = 4.81 states/eV/cell
calculated density = 5.74 g cm⁻³

=====

(6)
# ZnCo2Ag

ZnCo2Ag at its PBEsol-relaxed geometry (SCAN, Alexandria).

abc: 2.6398 4.4323 4.6018
angles: 101.19 106.67 90.00
With the nearest neighbours (Å) after each atom.
Positions (direct):
Zn  0.5000  0.0000  0.0000  6 Co 2.56-2.66, 4 Ag 2.58, 2 Zn 2.64
Co  0.2447  0.2315  0.4895  6 Co 2.46-2.71, 3 Zn 2.56-2.66, 3 Ag 2.67
Co  0.7553  0.7685  0.5105  6 Co 2.46-2.71, 3 Zn 2.56-2.66, 3 Ag 2.67
Ag  0.0000  0.5000  0.0000  4 Zn 2.58, 2 Ag 2.64, 6 Co 2.67

V = 50.51 Å³/cell
calculated total energy = -19.64 eV/atom
total magnetization = 3.6 μB/f.u.
DFT formation energy = 0.23 eV/atom
DOS at the Fermi energy = 1.86 states/eV/cell
calculated density = 9.57 g cm⁻³

=====

(7)
# ZnCo2Ag

ZnCo2Ag at its PBEsol-relaxed geometry (SCAN, Alexandria).

abc: 2.6171 2.6171 8.6839
angles: 81.33 81.33 60.00
With the nearest neighbours (Å) after each atom.
Positions (direct):
Zn  0.5000  0.5000  0.5000  6 Co 2.53, 6 Zn 2.62
Co  0.2458  0.2458  0.2627  3 Zn 2.53, 6 Co 2.62, 3 Ag 2.71
Co  0.7542  0.7542  0.7373  3 Zn 2.53, 6 Co 2.62, 3 Ag 2.71
Ag  0.0000  0.0000  0.0000  6 Ag 2.62, 6 Co 2.71

V = 50.72 Å³/cell
calculated total energy = -19.61 eV/atom
total magnetization = 3.6 μB/f.u.
DFT formation energy = 0.26 eV/atom
DOS at the Fermi energy = 2.08 states/eV/cell
calculated density = 9.53 g cm⁻³

=====

(8)
# Zn2CoAg

Zn2CoAg at its PBEsol-relaxed geometry (SCAN, Alexandria).

abc: 2.8090 2.8090 6.6622
angles: 90.00 90.00 90.00
With the nearest neighbours (Å) after each atom.
Positions (direct):
Zn  0.0000  0.0000  0.7160  4 Co 2.45, 4 Ag 2.74
Zn  0.0000  0.0000  0.2840  4 Co 2.45, 4 Ag 2.74
Co  0.5000  0.5000  0.5000  8 Zn 2.45
Ag  0.5000  0.5000  0.0000  8 Zn 2.74, 4 Ag 2.81

V = 52.57 Å³/cell
calculated total energy = -18.87 eV/atom
total magnetization = 0.2 μB/f.u.
DFT formation energy = 0.06 eV/atom
DOS at the Fermi energy = 1.94 states/eV/cell
calculated density = 9.40 g cm⁻³

=====

(9)
# ZrCo2Ag

ZrCo2Ag at its PBEsol-relaxed geometry (SCAN, Alexandria).

abc: 2.7595 2.7595 9.0639
angles: 81.24 81.24 60.00
With the nearest neighbours (Å) after each atom.
Positions (direct):
Co  0.9921  0.9921  0.0236  3 Co 2.36
Co  0.2604  0.2604  0.2188  3 Co 2.36
Zr  0.5059  0.5059  0.4823  6 Zr 2.76, 3 Co 2.84, 3 Ag 3.06
Ag  0.7416  0.7416  0.7753  3 Co 2.73, 6 Ag 2.76

V = 58.84 Å³/cell
calculated total energy = -23.82 eV/atom
total magnetization = 3.7 μB/f.u.
DFT formation energy = 0.34 eV/atom
DOS at the Fermi energy = 3.25 states/eV/cell
energy relative to the lowest polymorph listed for this composition = 6.53 kcal/mol of atoms
calculated density = 8.94 g cm⁻³

=====

(10)
# Zr2CoAg

Zr2CoAg at its PBEsol-relaxed geometry (SCAN, Alexandria).

abc: 3.2533 4.6334 4.6334
angles: 90.26 90.00 90.00
With the nearest neighbours (Å) after each atom.
Positions (direct):
Ag  0.5000  0.0000  0.0000  8 Zr 2.83
Co  0.5000  0.5000  0.5000  8 Zr 2.83
Zr  0.0000  0.5000  0.0000  4 Ag 2.83, 4 Co 2.83
Zr  0.0000  0.0000  0.5000  4 Co 2.83, 4 Ag 2.83

V = 69.84 Å³/cell
calculated total energy = -27.67 eV/atom
total magnetization = 0.4 μB/f.u.
DFT formation energy = -0.15 eV/atom
DOS at the Fermi energy = 2.75 states/eV/cell
energy relative to the lowest polymorph listed for this composition = 0.98 kcal/mol of atoms
calculated density = 8.30 g cm⁻³

=====

(11)
# Zr4CoAg

Zr4CoAg at its PBEsol-relaxed geometry (SCAN, Alexandria).

abc: 5.5042 5.5042 5.5042
angles: 60.00 60.00 60.00
With the nearest neighbours (Å) after each atom.
Positions (direct):
Ag  0.7500  0.7500  0.7500  12 Zr 3.23, 4 Co 3.37
Co  0.0000  0.0000  0.0000  12 Zr 3.23, 4 Ag 3.37
Zr  0.3741  0.3741  0.3741  6 Zr 2.73-2.77
Zr  0.3741  0.3741  0.8777  6 Zr 2.73-2.77
Zr  0.8777  0.3741  0.3741  6 Zr 2.73-2.77
Zr  0.3741  0.8777  0.3741  6 Zr 2.73-2.77

V = 117.91 Å³/cell
calculated total energy = -27.93 eV/atom
total magnetization = 2.0 μB/f.u.
DFT formation energy = 0.65 eV/atom
DOS at the Fermi energy = 6.25 states/eV/cell
calculated density = 7.49 g cm⁻³

=====

(12)
# ZrCo4Ag

ZrCo4Ag at its PBEsol-relaxed geometry (SCAN, Alexandria).

abc: 4.7740 4.7740 4.7740
angles: 60.00 60.00 60.00
With the nearest neighbours (Å) after each atom.
Positions (direct):
Co  0.3747  0.3747  0.3747  6 Co 2.38-2.39
Co  0.3747  0.3747  0.8760  6 Co 2.38-2.39
Co  0.8760  0.3747  0.3747  6 Co 2.38-2.39
Co  0.3747  0.8760  0.3747  6 Co 2.38-2.39
Ag  0.0000  0.0000  0.0000  12 Co 2.80, 4 Zr 2.92
Zr  0.7500  0.7500  0.7500  12 Co 2.80, 4 Ag 2.92

V = 76.94 Å³/cell
calculated total energy = -21.96 eV/atom
total magnetization = 5.4 μB/f.u.
DFT formation energy = -0.08 eV/atom
DOS at the Fermi energy = 5.90 states/eV/cell
calculated density = 9.38 g cm⁻³

=====

- Which value of total magnetization does entry 2 give?
  1.0 μB/f.u.

=====

- Among the records above, which one has the lowest V?
  CoAgW